Record 1
# Sb2WS

A geometry-optimized Sb2WS structure (GGA-PBE, Alexandria via LeMat-Bulk).

Unit cell a=7.5066 b=7.5066 c=7.5066 alpha=130.94 beta=130.94 gamma=71.90
Element x y z (fractional)
Sb 0.1037 0.6250 0.9787
Sb 0.3750 0.3537 0.4787
Sb 0.6463 0.1250 0.0213
Sb 0.8750 0.8963 0.5213
W 0.0000 0.0000 0.0000
W 0.7500 0.2500 0.5000
S 0.2500 0.7500 0.5000
S 0.5000 0.5000 0.0000

Values from the calculation:
Its total energy is -0.4045 Ry per atom. Its crystal system is tetragonal. For the uncorrected formation energy, the calculation gives 3.309 eV/f.u.

***

Record 2
# SbW3S

A geometry-optimized SbW3S structure (GGA-PBE, Alexandria via LeMat-Bulk).

Unit cell a=4.9221 b=4.9221 c=4.9221 alpha=90.00 beta=90.00 gamma=90.00
Element x y z (fractional)
Sb 0.0000 0.0000 0.0000
W 0.0000 0.0000 0.5000
W 0.0000 0.5000 0.0000
W 0.5000 0.0000 0.0000
S 0.5000 0.5000 0.5000

Values from the calculation:
Its total energy is -0.4795 Ry per atom. Its crystal system is cubic. For the uncorrected formation energy, the calculation gives 14.489 eV/f.u. The polymorph energy (0 for the lowest one) comes out at 1894.1 meV/atom.

***

Record 3
# SbWS2

A geometry-optimized SbWS2 structure (GGA-PBE, Alexandria via LeMat-Bulk).

Unit cell a=3.2737 b=5.8482 c=8.9278 alpha=88.53 beta=79.51 gamma=89.99
Element x y z (fractional)
Sb 0.0000 0.0000 0.0000
Sb 0.3162 0.5016 0.9977
W 0.1726 0.8002 0.4954
W 0.6685 0.2009 0.5039
S 0.0791 0.0782 0.6896
S 0.2411 0.4272 0.3495
S 0.5919 0.5740 0.6498
S 0.7677 0.9228 0.3097

Values from the calculation:
Its total energy is -0.4920 Ry per atom. Its crystal system is triclinic. For the uncorrected formation energy, the calculation gives -1.447 eV/f.u.

***

Record 4
# SbW3S

A geometry-optimized SbW3S structure (GGA-PBE, Alexandria via LeMat-Bulk).

Unit cell a=4.4891 b=4.4891 c=4.4891 alpha=90.00 beta=90.00 gamma=90.00
Element x y z (fractional)
Sb 0.0000 0.0000 0.0000
W 0.0000 0.5000 0.5000
W 0.5000 0.0000 0.5000
W 0.5000 0.5000 0.0000
S 0.5000 0.5000 0.5000

Values from the calculation:
Its total energy is -0.6187 Ry per atom. Its crystal system is cubic. For the uncorrected formation energy, the calculation gives 5.018 eV/f.u. The polymorph energy (0 for the lowest one) comes out at 0.0 meV/atom.

***

Record 5
# Y3SbS2

A geometry-optimized Y3SbS2 structure (GGA-PBE, Alexandria via LeMat-Bulk).

Unit cell a=7.8103 b=7.8103 c=7.8103 alpha=125.30 beta=93.03 gamma=111.67
Element x y z (fractional)
Y 0.0000 0.2296 0.2296
Y 0.0000 0.7704 0.7704
Y 0.5000 0.0000 0.0000
Y 0.5000 0.2296 0.7296
Y 0.5000 0.5000 0.5000
Y 0.5000 0.7704 0.2704
Sb 0.1894 0.9394 0.2500
Sb 0.8106 0.0606 0.7500
S 0.2629 0.7060 0.5569
S 0.3509 0.2940 0.0569
S 0.6491 0.7060 0.9431
S 0.7371 0.2940 0.4431

Values from the calculation:
Its total energy is -0.4860 Ry per atom. Its crystal system is orthorhombic. For the uncorrected formation energy, the calculation gives -7.906 eV/f.u.

***

Record 6
# Y3Sb2S

A geometry-optimized Y3Sb2S structure (GGA-PBE, Alexandria via LeMat-Bulk).

Unit cell a=7.3170 b=7.3170 c=6.7378 alpha=90.00 beta=90.00 gamma=70.74
Element x y z (fractional)
Y 0.1118 0.8882 0.7500
Y 0.3280 0.3280 0.0000
Y 0.3280 0.3280 0.5000
Y 0.6720 0.6720 0.0000
Y 0.6720 0.6720 0.5000
Y 0.8882 0.1118 0.2500
Sb 0.0313 0.6642 0.2500
Sb 0.3358 0.9687 0.2500
Sb 0.6642 0.0313 0.7500
Sb 0.9687 0.3358 0.7500
S 0.4213 0.5787 0.7500
S 0.5787 0.4213 0.2500

Values from the calculation:
Its total energy is -0.4763 Ry per atom. Its crystal system is orthorhombic. For the uncorrected formation energy, the calculation gives -7.118 eV/f.u. The polymorph energy (0 for the lowest one) comes out at 219.1 meV/atom.

***

Record 7
# Y2SbS

A geometry-optimized Y2SbS structure (GGA-PBE, Alexandria via LeMat-Bulk).

Unit cell a=5.1683 b=5.1683 c=5.1683 alpha=60.00 beta=60.00 gamma=60.00
Element x y z (fractional)
Y 0.2500 0.2500 0.2500
Y 0.7500 0.7500 0.7500
Sb 0.0000 0.0000 0.0000
S 0.5000 0.5000 0.5000

Values from the calculation:
Its total energy is -0.4734 Ry per atom. Its crystal system is cubic. For the uncorrected formation energy, the calculation gives -4.587 eV/f.u. The polymorph energy (0 for the lowest one) comes out at 391.4 meV/atom.

***

Record 8
# Y3SbS

A geometry-optimized Y3SbS structure (GGA-PBE, Alexandria via LeMat-Bulk).

Unit cell a=8.6728 b=4.1071 c=14.3999 alpha=90.00 beta=90.00 gamma=90.00
Element x y z (fractional)
Y 0.0239 0.2500 0.1125
Y 0.1622 0.2500 0.5126
Y 0.1980 0.7500 0.2831
Y 0.3020 0.2500 0.7831
Y 0.3378 0.7500 0.0126
Y 0.4761 0.7500 0.6125
Y 0.5239 0.2500 0.3875
Y 0.6622 0.2500 0.9874
Y 0.6980 0.7500 0.2169
Y 0.8020 0.2500 0.7169
Y 0.8378 0.7500 0.4874
Y 0.9761 0.7500 0.8875
Sb 0.0770 0.7500 0.6729
Sb 0.4230 0.2500 0.1729
Sb 0.5770 0.7500 0.8271
Sb 0.9230 0.2500 0.3271
S 0.1611 0.2500 0.9459
S 0.3389 0.7500 0.4459
S 0.6611 0.2500 0.5541
S 0.8389 0.7500 0.0541

Values from the calculation:
Its total energy is -0.5016 Ry per atom. Its crystal system is orthorhombic. For the uncorrected formation energy, the calculation gives -6.478 eV/f.u. The polymorph energy (0 for the lowest one) comes out at 0.0 meV/atom.

***

Record 9
# Y2SbS2

A geometry-optimized Y2SbS2 structure (GGA-PBE, Alexandria via LeMat-Bulk).

Unit cell a=8.0831 b=8.0831 c=3.4248 alpha=90.00 beta=90.00 gamma=90.00
Element x y z (fractional)
Y 0.1638 0.3362 0.0000
Y 0.3362 0.8362 0.0000
Y 0.6638 0.1638 0.0000
Y 0.8362 0.6638 0.0000
Sb 0.0000 0.0000 0.5000
Sb 0.5000 0.5000 0.5000
S 0.1284 0.6284 0.5000
S 0.3716 0.1284 0.5000
S 0.6284 0.8716 0.5000
S 0.8716 0.3716 0.5000

Values from the calculation:
Its total energy is -0.4653 Ry per atom. Its crystal system is tetragonal. For the uncorrected formation energy, the calculation gives -6.347 eV/f.u. The polymorph energy (0 for the lowest one) comes out at 138.8 meV/atom.

***

Record 10
# Y2SbS2

A geometry-optimized Y2SbS2 structure (GGA-PBE, Alexandria via LeMat-Bulk).

Unit cell a=8.0603 b=8.0603 c=3.5480 alpha=90.00 beta=90.00 gamma=90.00
Element x y z (fractional)
Y 0.1569 0.3431 0.0000
Y 0.3431 0.8431 0.0000
Y 0.6569 0.1569 0.0000
Y 0.8431 0.6569 0.0000
Sb 0.0000 0.0000 0.0000
Sb 0.5000 0.5000 0.0000
S 0.1337 0.6337 0.5000
S 0.3663 0.1337 0.5000
S 0.6337 0.8663 0.5000
S 0.8663 0.3663 0.5000

Values from the calculation:
Its total energy is -0.4755 Ry per atom. Its crystal system is tetragonal. For the uncorrected formation energy, the calculation gives -7.041 eV/f.u. The polymorph energy (0 for the lowest one) comes out at 0.0 meV/atom.

***

Record 11
# Y5Sb4S

A geometry-optimized Y5Sb4S structure (GGA-PBE, Alexandria via LeMat-Bulk).

Unit cell a=11.4150 b=11.4150 c=11.4150 alpha=158.36 beta=148.90 gamma=38.21
Element x y z (fractional)
Y 0.0000 0.0000 0.0000
Y 0.2021 0.2021 0.0000
Y 0.4084 0.4084 0.0000
Y 0.5916 0.5916 0.0000
Y 0.7979 0.7979 0.0000
Sb 0.0996 0.5996 0.5000
Sb 0.3051 0.8051 0.5000
Sb 0.6949 0.1949 0.5000
Sb 0.9004 0.4004 0.5000
S 0.5000 0.0000 0.5000

Values from the calculation:
Its total energy is -0.4849 Ry per atom. Its crystal system is orthorhombic. For the uncorrected formation energy, the calculation gives -13.038 eV/f.u. The polymorph energy (0 for the lowest one) comes out at 7.5 meV/atom.

***

Record 12
# YSbS3

A geometry-optimized YSbS3 structure (GGA-PBE, Alexandria via LeMat-Bulk).

Unit cell a=7.0714 b=3.9514 c=9.8053 alpha=90.00 beta=90.71 gamma=90.00
Element x y z (fractional)
Y 0.0758 0.2500 0.1769
Y 0.9242 0.7500 0.8231
Sb 0.4113 0.2500 0.8122
Sb 0.5887 0.7500 0.1878
S 0.1019 0.2500 0.6815
S 0.2211 0.7500 0.0086
S 0.4260 0.2500 0.3164
S 0.5740 0.7500 0.6836
S 0.7789 0.2500 0.9914
S 0.8981 0.7500 0.3185

Values from the calculation:
Its total energy is -0.4212 Ry per atom. Its crystal system is monoclinic. For the uncorrected formation energy, the calculation gives -5.683 eV/f.u. The polymorph energy (0 for the lowest one) comes out at 0.0 meV/atom.